The following is a PBE calculation of a relaxed structure of SmSiBPt6, from the Alexandria database.

- N(E_F): 6.0 states/eV/cell
- E_form (uncorrected): -579 meV per atom
- Total magnetization: 0.0 μB/cell
- Calculated density: 13.9 Mg/m³
- SG: Imma (74)

Unit cell a=7.231 b=8.123 c=7.764 alpha=121.54 beta=117.75 gamma=90.00
Fractional positions:
B1 0.500 0.500 0.000
B2 0.500 0.000 0.000
Pt1 0.402 0.640 0.248
Pt2 0.560 0.310 0.119
Pt3 0.154 0.893 0.752
Pt4 0.846 0.107 0.248
Pt5 0.846 0.640 0.248
Pt6 0.402 0.107 0.248
Pt7 0.440 0.690 0.881
Pt8 0.598 0.893 0.752
Pt9 0.154 0.360 0.752
Pt10 0.115 0.865 0.229
Pt11 0.598 0.360 0.752
Pt12 0.885 0.135 0.771
Sm1 0.821 0.571 0.643
Sm2 0.179 0.429 0.357
Si1 0.000 0.000 0.500
Si2 0.500 0.000 0.500